Computed, not measured: an optimized crystal structure of TlIn2TcGe at the PBE level of DFT.

The space group is P4/mmm (123). The formation enthalpy at 0 K comes out at 0.12 eV per atom.

a b c (Å): 5.2871 5.2871 4.8177
angles (deg): 90.00 90.00 90.00
With the nearest neighbours (Å) after each atom.
Element x y z (fractional)
1 Tl 0.0000 0.0000 0.0000  8 In 3.58, 4 Ge 3.74
2 In 0.0000 0.5000 0.5000  2 Tc 2.64
3 In 0.5000 0.0000 0.5000  2 Tc 2.64
4 Tc 0.5000 0.5000 0.5000  2 Ge 2.41, 4 In 2.64
5 Ge 0.5000 0.5000 0.0000  2 Tc 2.41

***

Computed, not measured: an optimized crystal structure of PmCu2Ni3 at the PBE level of DFT.

The space group is P6/mmm (191). The formation enthalpy at 0 K comes out at -0.27 eV per atom.

a b c (Å): 5.0212 5.0212 3.9756
angles (deg): 90.00 90.00 120.00
With the nearest neighbours (Å) after each atom.
Element x y z (fractional)
1 Pm 0.0000 0.0000 0.0000  6 Cu 2.90, 12 Ni 3.20
2 Cu 0.3333 0.6667 0.0000  6 Ni 2.46
3 Cu 0.6667 0.3333 0.0000  6 Ni 2.46
4 Ni 0.0000 0.5000 0.5000  4 Cu 2.46, 4 Ni 2.51
5 Ni 0.5000 0.0000 0.5000  4 Cu 2.46, 4 Ni 2.51
6 Ni 0.5000 0.5000 0.5000  4 Cu 2.46, 4 Ni 2.51

***

Computed, not measured: an optimized crystal structure of KBe2Pt at the PBE level of DFT.

The space group is Cm (8). The formation enthalpy at 0 K comes out at -0.27 eV per atom.

a b c (Å): 3.9744 3.9744 6.3315
angles (deg): 105.47 105.47 59.96
With the nearest neighbours (Å) after each atom.
Element x y z (fractional)
1 K 0.0000 0.0000 0.0000  1 Be 3.04, 1 Pt 3.23
2 Be 0.5297 0.5297 0.5163  3 Pt 2.30, 3 Be 2.30
3 Be 0.8568 0.8568 0.4950  3 Be 2.30, 3 Pt 2.30-2.31
4 Pt 0.2013 0.2013 0.5329  6 Be 2.30-2.31

***

Computed, not measured: an optimized crystal structure of Ca2SnGePd6 at the PBE level of DFT.

The space group is C2/m (12). The formation enthalpy at 0 K comes out at -0.31 eV per atom.

a b c (Å): 6.8587 6.8587 6.8580
angles (deg): 119.96 119.96 60.15
With the nearest neighbours (Å) after each atom.
Element x y z (fractional)
1 Ca 0.2500 0.2500 0.2502  12 Pd 3.43-3.44
2 Ca 0.7500 0.7500 0.7498  12 Pd 3.43-3.44
3 Sn 0.0000 0.0000 0.5000  6 Pd 2.52
4 Ge 0.5000 0.5000 0.0000  6 Pd 2.33
5 Pd 0.2596 0.2596 0.7596  1 Ge 2.33, 1 Sn 2.52
6 Pd 0.2596 0.7404 0.2403  1 Ge 2.33, 1 Sn 2.52
7 Pd 0.2596 0.7404 0.7597  1 Ge 2.33, 1 Sn 2.52
8 Pd 0.7404 0.2596 0.2403  1 Ge 2.33, 1 Sn 2.52
9 Pd 0.7404 0.2596 0.7597  1 Ge 2.33, 1 Sn 2.52
10 Pd 0.7404 0.7404 0.2404  1 Ge 2.33, 1 Sn 2.52